1.
VASP calculation (PBE-GGA) on a relaxed NaCaSe2O6 crystal.

Cell: 6.806 6.806 6.985 Å, 98.57 98.57 99.67°
Element x y z (fractional)
Na: 0.206 0.794 0.750
Na: 0.794 0.206 0.250
Ca: 0.405 0.595 0.250
Ca: 0.595 0.405 0.750
Se: 0.103 0.294 0.815
Se: 0.294 0.103 0.315
Se: 0.706 0.897 0.685
Se: 0.897 0.706 0.185
O: 0.077 0.629 0.338
O: 0.139 0.219 0.172
O: 0.219 0.139 0.672
O: 0.293 0.507 0.897
O: 0.371 0.923 0.162
O: 0.493 0.707 0.603
O: 0.507 0.293 0.397
O: 0.629 0.077 0.838
O: 0.707 0.493 0.103
O: 0.781 0.861 0.328
O: 0.861 0.781 0.828
O: 0.923 0.371 0.662

---

2.
VASP calculation (PBE-GGA) on a relaxed Na2CaSeO4 crystal.

Cell: 5.597 5.597 8.274 Å, 90.00 90.00 90.00°
Element x y z (fractional)
Na: 0.000 0.000 0.000
Na: 0.000 0.500 0.250
Na: 0.500 0.000 0.750
Na: 0.500 0.500 0.500
Ca: 0.000 0.000 0.500
Ca: 0.500 0.500 0.000
Se: 0.000 0.500 0.750
Se: 0.500 0.000 0.250
O: 0.210 0.723 0.639
O: 0.223 0.290 0.861
O: 0.277 0.210 0.361
O: 0.290 0.777 0.139
O: 0.710 0.223 0.139
O: 0.723 0.790 0.361
O: 0.777 0.710 0.861
O: 0.790 0.277 0.639

---

3.
VASP calculation (PBE-GGA) on a relaxed Na2Ca2SeO6 crystal.

Cell: 5.676 5.676 5.847 Å, 97.01 97.01 118.80°
Element x y z (fractional)
Na: 0.143 0.857 0.000
Na: 0.857 0.143 0.000
Ca: 0.337 0.663 0.500
Ca: 0.663 0.337 0.500
Se: 0.000 0.000 0.500
O: 0.042 0.316 0.684
O: 0.214 0.214 0.309
O: 0.316 0.042 0.684
O: 0.684 0.958 0.316
O: 0.786 0.786 0.691
O: 0.958 0.684 0.316

---

4.
VASP calculation (PBE-GGA) on a relaxed Na2CaSeO crystal.

Cell: 4.550 4.550 4.619 Å, 90.00 90.00 90.00°
Element x y z (fractional)
Na: 0.000 0.500 0.000
Na: 0.500 0.000 0.000
Ca: 0.000 0.000 0.500
Se: 0.500 0.500 0.500
O: 0.000 0.000 0.000

---

5.
VASP calculation (PBE-GGA) on a relaxed Na3Ca3SeO8 crystal.

Cell: 6.733 6.733 6.733 Å, 59.88 59.88 59.88°
Element x y z (fractional)
Na: 0.000 0.500 0.500
Na: 0.500 0.000 0.500
Na: 0.500 0.500 0.000
Ca: 0.000 0.000 0.500
Ca: 0.000 0.500 0.000
Ca: 0.500 0.000 0.000
Se: 0.500 0.500 0.500
O: 0.239 0.239 0.239
O: 0.301 0.696 0.696
O: 0.304 0.304 0.699
O: 0.304 0.699 0.304
O: 0.696 0.301 0.696
O: 0.696 0.696 0.301
O: 0.699 0.304 0.304
O: 0.761 0.761 0.761

---

6.
VASP calculation (PBE-GGA) on a relaxed NaCa3Se4O12 crystal.

Cell: 7.241 7.241 7.241 Å, 104.17 104.17 104.17°
Element x y z (fractional)
Na: 0.000 0.000 0.000
Ca: 0.000 0.567 0.433
Ca: 0.433 0.000 0.567
Ca: 0.567 0.433 0.000
Se: 0.080 0.500 0.920
Se: 0.500 0.500 0.500
Se: 0.500 0.920 0.080
Se: 0.920 0.080 0.500
O: 0.017 0.235 0.364
O: 0.070 0.930 0.500
O: 0.235 0.364 0.017
O: 0.341 0.659 0.500
O: 0.364 0.017 0.235
O: 0.500 0.070 0.930
O: 0.500 0.341 0.659
O: 0.636 0.765 0.983
O: 0.659 0.500 0.341
O: 0.765 0.983 0.636
O: 0.930 0.500 0.070
O: 0.983 0.636 0.765

---

7.
VASP calculation (PBE-GGA) on a relaxed NaCaTbSeO6 crystal.

Cell: 5.666 5.666 5.666 Å, 60.00 60.00 60.00°
Element x y z (fractional)
Na: 0.000 0.000 0.000
Ca: 0.500 0.500 0.500
Tb: 0.750 0.750 0.750
Se: 0.250 0.250 0.250
O: 0.024 0.024 0.476
O: 0.024 0.476 0.024
O: 0.024 0.476 0.476
O: 0.476 0.024 0.024
O: 0.476 0.024 0.476
O: 0.476 0.476 0.024

---

8.
VASP calculation (PBE-GGA) on a relaxed NaCaYSeO6 crystal.

Cell: 5.654 5.654 5.654 Å, 60.00 60.00 60.00°
Element x y z (fractional)
Na: 0.000 0.000 0.000
Ca: 0.500 0.500 0.500
Y: 0.250 0.250 0.250
Se: 0.750 0.750 0.750
O: 0.524 0.524 0.976
O: 0.524 0.976 0.524
O: 0.524 0.976 0.976
O: 0.976 0.524 0.524
O: 0.976 0.524 0.976
O: 0.976 0.976 0.524

---

9.
VASP calculation (PBE-GGA) on a relaxed Na2CaSiO4 crystal.

Cell: 7.526 7.526 7.526 Å, 90.00 90.00 90.00°
Element x y z (fractional)
Na: 0.009 0.491 0.509
Na: 0.223 0.223 0.223
Na: 0.277 0.777 0.723
Na: 0.491 0.509 0.009
Na: 0.509 0.009 0.491
Na: 0.723 0.277 0.777
Na: 0.777 0.723 0.277
Na: 0.991 0.991 0.991
Ca: 0.037 0.537 0.963
Ca: 0.463 0.463 0.463
Ca: 0.537 0.963 0.037
Ca: 0.963 0.037 0.537
Si: 0.241 0.259 0.741
Si: 0.259 0.741 0.241
Si: 0.741 0.241 0.259
Si: 0.759 0.759 0.759
O: 0.028 0.238 0.792
O: 0.134 0.866 0.366
O: 0.208 0.528 0.262
O: 0.238 0.792 0.028
O: 0.262 0.208 0.528
O: 0.292 0.472 0.762
O: 0.366 0.134 0.866
O: 0.472 0.762 0.292
O: 0.528 0.262 0.208
O: 0.634 0.634 0.634
O: 0.708 0.972 0.738
O: 0.738 0.708 0.972
O: 0.762 0.292 0.472
O: 0.792 0.028 0.238
O: 0.866 0.366 0.134
O: 0.972 0.738 0.708

---

10.
VASP calculation (PBE-GGA) on a relaxed NaCaSiO4 crystal.

Cell: 5.399 7.177 5.413 Å, 90.00 116.46 90.00°
Element x y z (fractional)
Na: 0.185 0.250 0.314
Na: 0.815 0.750 0.686
Ca: 0.500 0.000 0.000
Ca: 0.500 0.500 0.000
Si: 0.122 0.750 0.335
Si: 0.878 0.250 0.665
O: 0.206 0.561 0.211
O: 0.206 0.939 0.211
O: 0.210 0.250 0.759
O: 0.306 0.750 0.672
O: 0.694 0.250 0.328
O: 0.790 0.750 0.241
O: 0.794 0.061 0.789
O: 0.794 0.439 0.789

---

11.
VASP calculation (PBE-GGA) on a relaxed Na2CaSiO4 crystal.

Cell: 5.131 5.131 8.915 Å, 90.00 90.00 90.00°
Element x y z (fractional)
Na: 0.000 0.000 0.000
Na: 0.000 0.500 0.250
Na: 0.500 0.000 0.750
Na: 0.500 0.500 0.500
Ca: 0.000 0.000 0.500
Ca: 0.500 0.500 0.000
Si: 0.000 0.500 0.750
Si: 0.500 0.000 0.250
O: 0.183 0.695 0.645
O: 0.195 0.317 0.855
O: 0.305 0.183 0.355
O: 0.317 0.805 0.145
O: 0.683 0.195 0.145
O: 0.695 0.817 0.355
O: 0.805 0.683 0.855
O: 0.817 0.305 0.645

---

12.
VASP calculation (PBE-GGA) on a relaxed Na5Ca4Si6O18 crystal.

Cell: 10.642 10.642 13.379 Å, 90.00 90.00 120.00°
Element x y z (fractional)
Na: 0.010 0.673 0.000
Na: 0.032 0.184 0.242
Na: 0.152 0.968 0.908
Na: 0.163 0.026 0.409
Na: 0.167 0.484 0.419
Na: 0.317 0.833 0.086
Na: 0.327 0.337 0.333
Na: 0.512 0.133 0.738
Na: 0.516 0.683 0.752
Na: 0.621 0.488 0.405
Na: 0.663 0.990 0.667
Na: 0.816 0.848 0.575
Na: 0.863 0.837 0.076
Na: 0.867 0.379 0.072
Na: 0.974 0.137 0.743
Ca: 0.190 0.502 0.922
Ca: 0.313 0.810 0.589
Ca: 0.341 0.311 0.824
Ca: 0.357 0.337 0.088
Ca: 0.487 0.164 0.255
Ca: 0.498 0.687 0.256
Ca: 0.663 0.020 0.421
Ca: 0.678 0.513 0.922
Ca: 0.689 0.030 0.158
Ca: 0.836 0.322 0.588
Ca: 0.970 0.659 0.491
Ca: 0.980 0.643 0.755
Si: 0.030 0.174 0.520
Si: 0.145 0.970 0.187
Si: 0.163 0.517 0.186
Si: 0.169 0.007 0.641
Si: 0.185 0.473 0.656
Si: 0.287 0.815 0.322
Si: 0.354 0.837 0.853
Si: 0.473 0.189 0.525
Si: 0.483 0.646 0.519
Si: 0.513 0.136 0.982
Si: 0.527 0.713 0.989
Si: 0.622 0.487 0.648
Si: 0.717 0.527 0.192
Si: 0.811 0.283 0.858
Si: 0.826 0.855 0.854
Si: 0.838 0.831 0.308
Si: 0.864 0.378 0.315
Si: 0.993 0.162 0.975
O: 0.012 0.405 0.249
O: 0.069 0.053 0.570
O: 0.083 0.546 0.645
O: 0.090 0.829 0.635
O: 0.094 0.310 0.604
O: 0.104 0.224 0.412
O: 0.120 0.896 0.079
O: 0.126 0.550 0.075
O: 0.171 0.260 0.968
O: 0.181 0.726 0.864
O: 0.203 0.089 0.748
O: 0.212 0.755 0.431
O: 0.217 0.906 0.270
O: 0.245 0.457 0.764
O: 0.250 0.145 0.200
O: 0.251 0.675 0.248
O: 0.274 0.455 0.197
O: 0.321 0.049 0.575
O: 0.325 0.577 0.582
O: 0.393 0.988 0.916
O: 0.423 0.749 0.915
O: 0.425 0.874 0.742
O: 0.435 0.215 0.412
O: 0.450 0.575 0.409
O: 0.454 0.537 0.979
O: 0.463 0.917 0.312
O: 0.473 0.263 0.960
O: 0.504 0.325 0.603
O: 0.509 0.082 0.097
O: 0.543 0.788 0.097
O: 0.545 0.819 0.530
O: 0.547 0.405 0.209
O: 0.573 0.491 0.763
O: 0.595 0.142 0.543
O: 0.595 0.607 0.582
O: 0.675 0.179 0.936
O: 0.690 0.783 0.937
O: 0.729 0.679 0.242
O: 0.737 0.210 0.294
O: 0.740 0.910 0.302
O: 0.776 0.880 0.746
O: 0.781 0.565 0.079
O: 0.785 0.219 0.746
O: 0.790 0.527 0.627
O: 0.821 0.496 0.269
O: 0.855 0.105 0.533
O: 0.858 0.453 0.876
O: 0.886 0.797 0.414
O: 0.895 0.750 0.867
O: 0.911 0.114 0.081
O: 0.918 0.427 0.430
O: 0.947 0.016 0.904
O: 0.951 0.271 0.909
O: 0.984 0.931 0.237

---

13.
VASP calculation (PBE-GGA) on a relaxed NaCa8SmTi10Si10O50 crystal.

Cell: 5.510 7.519 24.383 Å, 82.04 87.92 72.40°
Element x y z (fractional)
Na: 0.000 0.000 0.000
Ca: 0.182 0.162 0.166
Ca: 0.200 0.802 0.598
Ca: 0.382 0.964 0.766
Ca: 0.399 0.600 0.198
Ca: 0.580 0.764 0.367
Ca: 0.604 0.401 0.796
Ca: 0.800 0.201 0.398
Ca: 0.981 0.364 0.566
Sm: 0.783 0.564 0.967
Ti: 0.096 0.585 0.083
Ti: 0.186 0.486 0.383
Ti: 0.290 0.386 0.683
Ti: 0.393 0.271 0.985
Ti: 0.490 0.184 0.283
Ti: 0.586 0.087 0.582
Ti: 0.697 0.989 0.883
Ti: 0.785 0.886 0.182
Ti: 0.891 0.785 0.483
Ti: 0.986 0.689 0.782
Si: 0.088 0.904 0.296
Si: 0.096 0.265 0.868
Si: 0.293 0.701 0.895
Si: 0.294 0.061 0.468
Si: 0.489 0.505 0.496
Si: 0.495 0.854 0.068
Si: 0.689 0.306 0.097
Si: 0.694 0.661 0.667
Si: 0.890 0.105 0.695
Si: 0.894 0.459 0.268
O: 0.000 0.775 0.919
O: 0.039 0.706 0.145
O: 0.039 0.889 0.724
O: 0.070 0.227 0.713
O: 0.079 0.906 0.228
O: 0.098 0.277 0.935
O: 0.113 0.938 0.450
O: 0.147 0.276 0.439
O: 0.147 0.455 0.019
O: 0.183 0.375 0.243
O: 0.201 0.588 0.521
O: 0.236 0.688 0.325
O: 0.239 0.505 0.745
O: 0.270 0.025 0.314
O: 0.285 0.703 0.827
O: 0.302 0.059 0.536
O: 0.316 0.732 0.050
O: 0.345 0.260 0.618
O: 0.362 0.073 0.040
O: 0.385 0.179 0.843
O: 0.401 0.388 0.123
O: 0.438 0.303 0.346
O: 0.447 0.488 0.926
O: 0.475 0.824 0.912
O: 0.479 0.506 0.428
O: 0.505 0.854 0.136
O: 0.514 0.538 0.650
O: 0.544 0.058 0.218
O: 0.548 0.876 0.638
O: 0.583 0.977 0.443
O: 0.601 0.188 0.721
O: 0.636 0.289 0.525
O: 0.638 0.103 0.946
O: 0.671 0.627 0.513
O: 0.673 0.319 0.029
O: 0.702 0.661 0.735
O: 0.712 0.337 0.251
O: 0.748 0.674 0.238
O: 0.748 0.864 0.817
O: 0.779 0.760 0.042
O: 0.800 0.987 0.321
O: 0.832 0.088 0.125
O: 0.839 0.905 0.545
O: 0.876 0.422 0.115
O: 0.880 0.107 0.628
O: 0.901 0.459 0.336
O: 0.920 0.137 0.851
O: 0.945 0.478 0.838
O: 0.945 0.660 0.418
O: 0.983 0.577 0.642

---

For each record above, in turn, the calculated D(E_F) values are 5.32 0.00 0.00 0.00 11.34 7.78 0.00 0.00 0.00 1.08 0.00 8.38 0.00 states/eV/cell.
For each record above, in turn, the calculated total DFT energy (no corrections) values are -54.217 -39.950 -59.723 -21.424 -80.725 -105.553 -60.880 -62.658 -49.505 -45.553 -49.694 -223.505 -644.883 eV/f.u..
For each record above, in turn, the calculated formation energy (no corrections) values are -1368 -1157 -1915 -805 -2664 -2392 -1900 -1895 -1892 -1638 -1910 -8406 -23325 kJ/mol of formula units.